Entry from the Alexandria database: a geometry-optimized TlSb2TeRu structure (GGA-PBE). Values from VASP.

Results
* energy above the most stable polymorph in this dataset: 0 meV/atom
* SG: P4/mmm, No. 123
* total magnetic moment: 0.0 μB/f.u.

```
&SYSTEM
  ibrav = 0, nat = 5, ntyp = 4
/
ATOMIC_SPECIES
Sb 121.76 Sb.upf
Tl 204.38 Tl.upf
Te 127.60 Te.upf
Ru 101.07 Ru.upf
CELL_PARAMETERS angstrom
-3.923 -3.073 -0.759
1.628 -2.995 3.714
-3.191 3.109 3.906
ATOMIC_POSITIONS crystal
Sb 0.000 0.500 0.000
Sb 0.500 0.000 0.000
Tl 0.500 0.500 0.500
Te 0.000 0.000 0.500
Ru 0.000 0.000 0.000
```